DFT (PBE) results for a relaxed structure of La2NdSm6.

Cell and atoms, written as CIF:
```
data_La2NdSm6
_chemical_formula_sum 'La4 Nd2 Sm12'
_symmetry_space_group_name_H-M 'C m m m'
_symmetry_Int_Tables_number 65
_symmetry_space_group_name_Hall '-C 2 2'
_cell_length_a 10.024
_cell_length_b 17.429
_cell_length_c 3.571
_cell_angle_alpha 90.00
_cell_angle_beta 90.00
_cell_angle_gamma 90.00
loop_
_atom_site_label
_atom_site_type_symbol
_atom_site_fract_x
_atom_site_fract_y
_atom_site_fract_z
La1 La 0.000 0.167 0.000
Nd1 Nd 0.000 0.500 0.000
Sm1 Sm 0.167 0.334 0.500
Sm2 Sm 0.168 0.000 0.500
```

* DOS at the Fermi energy: 13.58 states/eV/f.u.



DFT (PBE) results for a relaxed structure of LaNd3Sm5.

Cell and atoms, written as CIF:
```
data_LaNd3Sm5
_chemical_formula_sum 'La4 Nd12 Sm20'
_symmetry_space_group_name_H-M 'C 1 2/m 1'
_symmetry_Int_Tables_number 12
_cell_length_a 15.582
_cell_length_b 11.634
_cell_length_c 9.948
_cell_angle_alpha 90.00
_cell_angle_beta 129.61
_cell_angle_gamma 90.00
loop_
_symmetry_equiv_pos_as_xyz
'x,y,z'
'-x,-y,-z'
'-x,y,-z'
'x,-y,z'
'x+1/2,y+1/2,z'
'-x+1/2,-y+1/2,-z'
'-x+1/2,y+1/2,-z'
'x+1/2,-y+1/2,z'
loop_
_atom_site_label
_atom_site_type_symbol
_atom_site_fract_x
_atom_site_fract_y
_atom_site_fract_z
La1 La 0.245 0.000 0.416
Nd1 Nd 0.000 0.000 0.000
Nd2 Nd 0.000 0.500 0.500
Nd3 Nd 0.004 0.500 0.815
Nd4 Nd 0.018 0.000 0.355
Sm1 Sm 0.000 0.255 0.000
Sm2 Sm 0.143 0.249 0.743
Sm3 Sm 0.223 0.500 0.221
Sm4 Sm 0.226 0.000 0.052
```

* DOS at the Fermi energy: 13.38 states/eV/f.u.
* excess energy over the best structure of this formula in the dataset: 186 meV per atom



DFT (PBE) results for a relaxed structure of La2Nd2Sm3.

Cell and atoms, written as CIF:
```
data_La2Nd2Sm3
_chemical_formula_sum 'La4 Nd4 Sm6'
_symmetry_space_group_name_H-M 'C 1 2/m 1'
_symmetry_Int_Tables_number 12
_cell_length_a 17.985
_cell_length_b 3.576
_cell_length_c 8.825
_cell_angle_alpha 90.00
_cell_angle_beta 118.95
_cell_angle_gamma 90.00
loop_
_symmetry_equiv_pos_as_xyz
'x,y,z'
'-x,-y,-z'
'-x,y,-z'
'x,-y,z'
'x+1/2,y+1/2,z'
'-x+1/2,-y+1/2,-z'
'-x+1/2,y+1/2,-z'
'x+1/2,-y+1/2,z'
loop_
_atom_site_label
_atom_site_type_symbol
_atom_site_fract_x
_atom_site_fract_y
_atom_site_fract_z
La1 La 0.065 0.000 0.410
Nd1 Nd 0.150 0.500 0.840
Sm1 Sm 0.000 0.500 0.000
Sm2 Sm 0.213 0.500 0.301
```

* DOS at the Fermi energy: 11.11 states/eV/f.u.
* excess energy over the best structure of this formula in the dataset: 88 meV per atom



DFT (PBE) results for a relaxed structure of LaNd4Sm7.

Cell and atoms, written as CIF:
```
data_LaNd4Sm7
_chemical_formula_sum 'La2 Nd8 Sm14'
_symmetry_space_group_name_H-M 'C 1 2/m 1'
_symmetry_Int_Tables_number 12
_cell_length_a 12.250
_cell_length_b 6.085
_cell_length_c 12.979
_cell_angle_alpha 90.00
_cell_angle_beta 117.93
_cell_angle_gamma 90.00
loop_
_symmetry_equiv_pos_as_xyz
'x,y,z'
'-x,-y,-z'
'-x,y,-z'
'x,-y,z'
'x+1/2,y+1/2,z'
'-x+1/2,-y+1/2,-z'
'-x+1/2,y+1/2,-z'
'x+1/2,-y+1/2,z'
loop_
_atom_site_label
_atom_site_type_symbol
_atom_site_fract_x
_atom_site_fract_y
_atom_site_fract_z
La1 La 0.000 0.000 0.000
Nd1 Nd 0.134 0.500 0.776
Nd2 Nd 0.245 0.000 0.679
Sm1 Sm 0.000 0.500 0.000
Sm2 Sm 0.061 0.000 0.329
Sm3 Sm 0.131 0.500 0.501
Sm4 Sm 0.210 0.000 0.922
```

* DOS at the Fermi energy: 19.07 states/eV/f.u.
* excess energy over the best structure of this formula in the dataset: 215 meV per atom



Record-wise DFT formation energy values, in kJ per mole of atoms: 5.0, 43.9, 10.5, 22.0